(1)
Entry from Alexandria via LeMat-Bulk: an optimized crystal structure of RbUV2O8 (PBE+U).

abc: 5.8849 5.8849 8.0134
angles: 90.00 90.00 120.00
Each line ends with the local moment (μB).
Element x y z (fractional)
V 0.6667 0.3333 0.2330  -0.02
O 0.8319 0.1681 0.1610  -0.01
U 0.0000 0.0000 0.0000  1.09
V 0.3333 0.6667 0.7670  -0.02
O 0.6667 0.3333 0.4382  0.00
O 0.3362 0.1681 0.1610  -0.01
O 0.1681 0.8319 0.8390  -0.01
O 0.3333 0.6667 0.5618  0.00
O 0.8319 0.6638 0.1610  -0.01
O 0.6638 0.8319 0.8390  -0.01
Rb 0.0000 0.0000 0.5000  0.00
O 0.1681 0.3362 0.8390  -0.01

Calculated total energy = -7.919 eV per atom
N(E_F) = 0.13 states/eV per atom
SG = P-3m1, No. 164
Total magnetization = 1.0 Bohr magnetons per cell

(2)
Entry from Alexandria via LeMat-Bulk: an optimized crystal structure of RbU2VO8 (PBE+U).

abc: 5.0799 5.0787 7.1893
angles: 87.51 87.54 84.91
Each line ends with the local moment (μB).
Element x y z (fractional)
U 0.5110 0.5109 0.2399  0.07
V 0.0000 0.0000 0.0000  1.88
O 0.3456 0.3435 0.4664  -0.01
O 0.2029 0.7785 0.1953  -0.03
U 0.4890 0.4891 0.7601  0.07
Rb 0.0000 0.0000 0.5000  0.00
O 0.3118 0.3109 0.9863  -0.01
O 0.2203 0.7961 0.8049  -0.03
O 0.7971 0.2215 0.8047  -0.03
O 0.6544 0.6565 0.5336  -0.01
O 0.7797 0.2039 0.1951  -0.03
O 0.6882 0.6891 0.0137  -0.01

Calculated total energy = -8.482 eV per atom
SG = P-1, No. 2
Total magnetization = 2.0 Bohr magnetons per cell

(3)
Entry from Alexandria via LeMat-Bulk: an optimized crystal structure of Rb2UVO6 (PBE+U).

abc: 5.9019 5.9020 5.9024
angles: 60.00 60.00 89.99
Each line ends with the local moment (μB).
Element x y z (fractional)
O 0.2432 0.2432 0.5136  -0.01
O 0.7568 0.7568 0.0000  -0.01
U 0.0000 0.0000 0.0000  0.03
Rb 0.2500 0.7500 0.5000  0.00
O 0.2799 0.7201 0.0000  -0.06
O 0.7568 0.7568 0.4864  -0.01
O 0.7201 0.2799 0.0000  -0.06
Rb 0.7500 0.2500 0.5000  0.00
O 0.2432 0.2432 0.0000  -0.01
V 0.5000 0.5000 0.0000  1.07

Calculated total energy = -7.425 eV per atom
SG = I4/mmm, No. 139
Total magnetization = 1.0 Bohr magnetons per cell

> Which formula does entry 2 have?

RbU2VO8

> The highest calculated total energy belongs to which entry?

Rb2UVO6